Entry 1:
First-principles (PBE) data for FeGe2Rh after structural relaxation, as listed in the Alexandria database.

extended XYZ file:
```
8
Lattice="-3.556 -3.972 1.073 -1.004 -0.538 -5.318 1.713 -5.933 -2.504" Properties=species:S:1:pos:R:3 pbc="T T T"
Ge -1.883 -3.992 -0.631
Ge -0.681 -2.357 -3.804
Ge -0.436 -6.147 -3.525
Ge -2.695 -8.390 -5.536
Rh -2.062 -6.080 -1.776
Rh 0.000 0.000 0.000
Fe -0.786 -4.363 -4.972
Fe -2.280 -2.255 -2.122
```

Properties
V   160.9 Å³/cell
Excess energy over the best structure of this formula in the dataset   2.12 eV/f.u.
N(E_F)   3.027 states/eV/f.u.
Formation enthalpy at 0 K   381 meV/atom
Space group   I-42d (122)
Total energy   -47.047 eV/cell

Entry 2:
First-principles (PBE) data for AcZrZn4 after structural relaxation, as listed in the Alexandria database.

extended XYZ file:
```
6
Lattice="-4.736 2.457 -1.418 -3.602 -2.622 -3.261 -4.782 -1.820 2.073" Properties=species:S:1:pos:R:3 pbc="T T T"
Zr 0.000 0.000 0.000
Zn -8.241 -1.246 -1.636
Zn -6.395 0.097 0.034
Zn -5.814 -2.505 -0.910
Zn -5.791 -0.314 -2.698
Ac -3.280 -0.496 -0.651
```

Properties
V   119.0 Å³/cell
N(E_F)   3.922 states/eV/f.u.
Formation enthalpy at 0 K   -158 meV/atom
Space group   F-43m (216)
Total energy   -18.702 eV/cell